Record 1
First-principles (PBE-GGA) data for a relaxed structure of Na2Cr2GaS6, as listed in Alexandria.

## Properties
The value obtained for the formation energy from raw total energies is -0.79 eV/atom. The crystal system is monoclinic.

Lattice parameters (Å, degrees): 6.048 10.614 7.051 90.00 106.67 90.00
Space group C2/m (No. 12)
One atom of each set of equivalent atoms:
Na: 0.000 0.163 0.000 (multiplicity 4)
Cr: 0.000 0.330 0.500 (multiplicity 4)
Ga: 0.000 0.000 0.500 (multiplicity 2)
S: 0.225 0.500 0.693 (multiplicity 4)
S: 0.239 0.173 0.699 (multiplicity 8)

***

Record 2
First-principles (PBE-GGA) data for a relaxed structure of LaVAsSe2, as listed in Alexandria.

## Properties
The value obtained for the formation energy from raw total energies is -0.84 eV/atom. The crystal system is tetragonal.

Lattice parameters (Å, degrees): 4.966 4.966 4.731 90.00 90.00 90.00
Space group P4/mmm (No. 123)
One atom of each set of equivalent atoms:
La: 0.000 0.000 0.000 (multiplicity 1)
V: 0.500 0.500 0.500 (multiplicity 1)
As: 0.500 0.500 0.000 (multiplicity 1)
Se: 0.000 0.500 0.500 (multiplicity 2)

***

Record 3
First-principles (PBE-GGA) data for a relaxed structure of MnBeCo, as listed in Alexandria.

## Properties
The calculation puts the formation enthalpy at 0 K at -1.0 kcal/mol of atoms. The polymorph energy (0 for the lowest one) comes out at 0.116 eV/atom. The crystal system is orthorhombic.

Lattice parameters (Å, degrees): 4.259 3.810 7.169 90.00 90.00 90.00
Space group Pnma (No. 62)
One atom of each set of equivalent atoms:
Mn: 0.149 0.250 0.006 (multiplicity 4)
Be: 0.152 0.250 0.667 (multiplicity 4)
Co: 0.151 0.250 0.330 (multiplicity 4)

***

Record 4
First-principles (PBE-GGA) data for a relaxed structure of MnFeH, as listed in Alexandria.

## Properties
The polymorph energy (0 for the lowest one) comes out at 0.008 eV/atom. The crystal system is monoclinic.

Lattice parameters (Å, degrees): 4.440 4.016 5.113 90.00 90.05 90.00
Space group P2_1/c (No. 14)
One atom of each set of equivalent atoms:
Mn: 0.087 0.242 0.376 (multiplicity 4)
Fe: 0.421 0.746 0.875 (multiplicity 4)
H: 0.250 0.508 0.623 (multiplicity 4)

***

Record 5
First-principles (PBE-GGA) data for a relaxed structure of TaMn2SbAs, as listed in Alexandria.

## Properties
The value obtained for the formation energy from raw total energies is 1.27 eV/atom. The crystal system is tetragonal.

Lattice parameters (Å, degrees): 4.273 4.273 5.244 90.00 90.00 90.00
Space group P4/mmm (No. 123)
One atom of each set of equivalent atoms:
Ta: 0.000 0.000 0.000 (multiplicity 1)
Mn: 0.000 0.500 0.500 (multiplicity 2)
Sb: 0.500 0.500 0.000 (multiplicity 1)
As: 0.500 0.500 0.500 (multiplicity 1)

***

Record 6
First-principles (PBE-GGA) data for a relaxed structure of Pm2Ho2Hg, as listed in Alexandria.

## Properties
The calculation puts the formation enthalpy at 0 K at -1.5 kcal/mol of atoms. The polymorph energy (0 for the lowest one) comes out at 0.114 eV/atom. The crystal system is monoclinic.

Lattice parameters (Å, degrees): 8.389 9.436 8.496 90.00 115.37 90.00
Space group C2/m (No. 12)
One atom of each set of equivalent atoms:
Pm: 0.081 0.188 0.217 (multiplicity 8)
Ho: 0.159 0.500 0.936 (multiplicity 4)
Ho: 0.223 0.000 0.612 (multiplicity 4)
Hg: 0.000 0.336 0.500 (multiplicity 4)

***

Record 7
First-principles (PBE-GGA) data for a relaxed structure of LiCaUN3, as listed in Alexandria.

## Properties
The value obtained for the formation energy from raw total energies is -1.14 eV/atom. The crystal system is monoclinic.

Lattice parameters (Å, degrees): 6.022 3.585 8.386 90.00 102.28 90.00
Space group P2_1/m (No. 11)
One atom of each set of equivalent atoms:
Li: 0.156 0.250 0.047 (multiplicity 2)
Ca: 0.133 0.750 0.693 (multiplicity 2)
U: 0.372 0.750 0.324 (multiplicity 2)
N: 0.050 0.750 0.184 (multiplicity 2)
N: 0.294 0.250 0.496 (multiplicity 2)
N: 0.463 0.250 0.213 (multiplicity 2)

***

Record 8
First-principles (PBE-GGA) data for a relaxed structure of NiHgTe2, as listed in Alexandria.

## Properties
The value obtained for the formation energy from raw total energies is -0.13 eV/atom. The crystal system is trigonal.

Lattice parameters (Å, degrees): 3.8494 3.8494 24.5876 90.00 90.00 120.00
Space group R3m (No. 160, hexagonal axes)
One atom of each set of equivalent atoms:
Ni: 0.0000 0.0000 0.0000 (multiplicity 3)
Hg: 0.0000 0.0000 0.1667 (multiplicity 3)
Te: 0.0000 0.0000 0.3874 (multiplicity 3)
Te: 0.0000 0.0000 0.6133 (multiplicity 3)

***

| no. | density (g cm⁻³) | magnetic moment (Bohr magnetons per cell) |
| --- | --- | --- |
| 1 | 3.156 | 10.010 |
| 2 | 6.016 | 1.061 |
| 3 | 7.017 | 0.000 |
| 4 | 8.145 | 0.000 |
| 5 | 8.454 | 0.016 |
| 6 | 8.967 | 0.000 |
| 7 | 6.140 | 0.000 |
| 8 | 8.123 | 0.000 |